1.
Here is Th5TlOs2 after structural relaxation from Alexandria. Energies are from PBE.

Structure (POSCAR):
```
Th5TlOs2
1.0
-6.149 -0.590 -5.090
0.149 -7.968 0.744
-1.432 4.692 7.479
Th Tl Os
10 2 4
direct
0.525 0.707 0.732 Th
0.793 0.975 0.268 Th
0.000 0.000 0.000 Th
0.500 0.500 0.000 Th
0.207 0.025 0.732 Th
0.707 0.207 0.732 Th
0.025 0.525 0.732 Th
0.293 0.793 0.268 Th
0.975 0.475 0.268 Th
0.475 0.293 0.268 Th
0.750 0.750 0.500 Tl
0.250 0.250 0.500 Tl
0.140 0.360 0.000 Os
0.640 0.140 0.000 Os
0.360 0.860 0.000 Os
0.860 0.640 0.000 Os
```

## Properties
M_tot = 0.000 μB per atom
Calculated formation energy = -0.287 eV/atom
Uncorrected energy = -128.44 eV for the cell shown
Symmetry = I4/mcm (140)



2.
Here is Cr3P after structural relaxation from Alexandria. Energies are from PBE.

Structure (POSCAR):
```
Cr3P
1.0
3.577 0.000 0.000
0.000 3.577 0.000
0.000 0.000 3.577
Cr P
3 1
direct
0.000 0.500 0.500 Cr
0.500 0.000 0.500 Cr
0.500 0.500 0.000 Cr
0.000 0.000 0.000 P
```

## Properties
M_tot = 0.379 μB per atom
Calculated formation energy = -0.031 eV/atom
Uncorrected energy = -34.41 eV for the cell shown
Symmetry = Pm-3m (221)



3.
Here is CsPdF2 after structural relaxation from Alexandria. Energies are from PBE.

Structure (POSCAR):
```
CsPdF2
1.0
-4.023 -1.808 1.789
-2.066 2.056 3.763
-4.106 2.349 -0.528
Cs Pd F
1 1 2
direct
0.500 0.500 0.500 Cs
0.000 0.000 0.000 Pd
0.250 0.250 0.250 F
0.750 0.750 0.750 F
```

## Properties
Energy relative to the elements, uncorrected = -1.142 eV per atom
M_tot = 0.250 μB per atom
Uncorrected energy = -14.36 eV for the cell shown
Symmetry = Fm-3m (225)



4.
Here is AcPbAu2O8 after structural relaxation from Alexandria. Energies are from PBE.

Structure (POSCAR):
```
AcPbAu2O8
1.0
5.664 0.000 0.000
0.000 5.664 0.000
-2.832 -2.832 5.399
Ac Pb Au O
1 1 2 8
direct
0.000 0.000 0.000 Ac
0.750 0.250 0.500 Pb
0.500 0.500 0.000 Au
0.250 0.750 0.500 Au
0.634 0.868 0.074 O
0.440 0.207 0.074 O
0.602 0.637 0.573 O
0.970 0.935 0.573 O
0.065 0.398 0.427 O
0.363 0.030 0.427 O
0.132 0.560 0.926 O
0.793 0.366 0.926 O
```

## Properties
Energy relative to the elements, uncorrected = -0.633 eV per atom
M_tot = 0.257 μB per atom
Uncorrected energy = -61.64 eV for the cell shown
Symmetry = I-4 (82)



5.
Here is Pr5Sb3 after structural relaxation from Alexandria. Energies are from PBE.

Structure (POSCAR):
```
Pr5Sb3
1.0
6.578 0.000 0.000
0.000 9.426 0.000
0.000 -4.713 8.163
Pr Sb
10 6
direct
0.000 0.667 0.333 Pr
0.000 0.333 0.667 Pr
0.500 0.333 0.667 Pr
0.500 0.667 0.333 Pr
0.250 0.000 0.749 Pr
0.250 0.749 0.000 Pr
0.250 0.251 0.251 Pr
0.750 0.000 0.251 Pr
0.750 0.251 0.000 Pr
0.750 0.749 0.749 Pr
0.250 0.000 0.386 Sb
0.250 0.386 0.000 Sb
0.250 0.614 0.614 Sb
0.750 0.000 0.614 Sb
0.750 0.614 0.000 Sb
0.750 0.386 0.386 Sb
```

## Properties
Energy relative to the elements, uncorrected = -0.969 eV per atom
M_tot = 0.076 μB per atom
Uncorrected energy = -88.04 eV for the cell shown
Symmetry = P6_3/mcm (193)



6.
Here is HoPuNp2As4 after structural relaxation from Alexandria. Energies are from PBE.

Structure (POSCAR):
```
HoPuNp2As4
1.0
-3.530 0.484 -2.037
3.226 -1.893 -6.039
-2.646 -5.825 3.199
Ho Pu Np As
1 1 2 4
direct
0.500 0.500 0.000 Ho
0.000 0.000 0.000 Pu
0.500 0.000 0.500 Np
0.000 0.500 0.500 Np
0.500 0.251 0.252 As
0.500 0.749 0.748 As
0.000 0.250 0.748 As
0.000 0.750 0.252 As
```

## Properties
M_tot = 1.599 μB per atom
Calculated formation energy = -0.978 eV/atom
Uncorrected energy = -71.22 eV for the cell shown
Symmetry = P2/m (10)



7.
Here is Ac3Ga2GePt6 after structural relaxation from Alexandria. Energies are from PBE.

Structure (POSCAR):
```
Ac3Ga2GePt6
1.0
-4.817 -2.963 1.623
4.151 -2.664 -3.207
4.296 -2.706 7.808
Ac Ga Ge Pt
3 2 1 6
direct
0.333 0.667 0.617 Ac
0.667 0.333 0.383 Ac
0.000 0.000 0.000 Ac
0.667 0.333 0.925 Ga
0.333 0.667 0.075 Ga
0.000 0.000 0.500 Ge
0.661 0.830 0.289 Pt
0.170 0.339 0.289 Pt
0.170 0.830 0.289 Pt
0.830 0.661 0.711 Pt
0.339 0.170 0.711 Pt
0.830 0.170 0.711 Pt
```

## Properties
M_tot = 0.000 μB per atom
Calculated formation energy = -0.844 eV/atom
Uncorrected energy = -69.37 eV for the cell shown
Symmetry = P-3m1 (164)



8.
Here is FeBAs3 after structural relaxation from Alexandria. Energies are from PBE.

Structure (POSCAR):
```
FeBAs3
1.0
-1.473 1.819 3.575
-2.919 -3.098 0.374
2.751 -2.313 2.310
As B Fe
3 1 1
direct
0.000 0.500 0.000 As
0.000 0.000 0.500 As
0.500 0.000 0.000 As
0.000 0.000 0.000 B
0.500 0.500 0.500 Fe
```

## Properties
M_tot = 0.000 μB per atom
Calculated formation energy = 1.120 eV/atom
Uncorrected energy = -23.49 eV for the cell shown
Symmetry = Pm-3m (221)



- Look up the uncorrected energy of the third one.
  -14.36 eV for the cell shown